(1)
Material: BaOsSe2N
Method: DFT, PBE
State: relaxed

## Properties
Total DFT energy (no corrections)   -30.7 eV per cell
Density   7.63 g/cm3
ΔE_f (raw)   -441 meV/atom
Energy above the lowest structure with this stoichiometry   0.0 kJ per mole of atoms

Cell and atoms, written as POSCAR:
```
BaOsSe2N
1.0
5.354 0.000 0.000
0.000 5.354 0.000
0.000 0.000 3.791
N Se Ba Os
1 2 1 1
Direct
0.000 0.000 0.500
0.500 0.000 0.000
0.000 0.500 0.000
0.500 0.500 0.500
0.000 0.000 0.000
```

(2)
Material: Ba2SmOs2N6
Method: DFT, PBE
State: relaxed

## Properties
Total DFT energy (no corrections)   -85.8 eV per cell
Density   7.18 g/cm3
ΔE_f (raw)   -439 meV/atom

Cell and atoms, written as POSCAR:
```
Ba2SmOs2N6
1.0
6.130 0.000 0.000
3.065 5.309 0.000
3.065 1.770 6.325
N Sm Os Ba
6 1 2 2
Direct
0.745 0.745 0.260
0.255 0.255 0.740
0.250 0.745 0.260
0.255 0.750 0.740
0.745 0.250 0.260
0.750 0.255 0.740
0.000 0.000 0.000
0.597 0.597 0.208
0.403 0.403 0.792
0.213 0.213 0.361
0.787 0.787 0.639
```